# 1
This record from Alexandria describes a relaxed structure of Er2PuHg3. The functional is PBE-GGA.

```
data_Er2PuHg3
_symmetry_space_group_name_H-M 'P 4/m m m'
_symmetry_Int_Tables_number 123
_symmetry_space_group_name_Hall '-P 4 2'
_cell_length_a 3.681
_cell_length_b 3.681
_cell_length_c 11.325
_cell_angle_alpha 90.00
_cell_angle_beta 90.00
_cell_angle_gamma 90.00
loop_
_atom_site_label
_atom_site_fract_x
_atom_site_fract_y
_atom_site_fract_z
Er1 0.000 0.000 0.163
Pu1 0.000 0.000 0.500
Hg1 0.500 0.500 0.000
Hg2 0.500 0.500 0.319
```

Output
Calculated total energy (eV per atom): -4.415
Size of the total moment (Bohr magnetons per cell): 5.91
Energy of formation (kJ/mol of formula units): -205



# 2
This record from Alexandria describes a relaxed structure of ErPuHg. The functional is PBE-GGA.

```
data_ErPuHg
_symmetry_space_group_name_H-M 'C 1 2/m 1'
_symmetry_Int_Tables_number 12
_symmetry_space_group_name_Hall '-C 2y'
_cell_length_a 5.266
_cell_length_b 4.435
_cell_length_c 12.339
_cell_angle_alpha 90.00
_cell_angle_beta 91.76
_cell_angle_gamma 90.00
loop_
_atom_site_label
_atom_site_fract_x
_atom_site_fract_y
_atom_site_fract_z
Er1 0.244 0.000 0.394
Pu1 0.199 0.000 0.040
Hg1 0.211 0.500 0.222
```

Output
ΔE to the lowest computed polymorph (meV/atom): 76
Calculated total energy (eV per atom): -6.444
Size of the total moment (Bohr magnetons per cell): 1.22
Energy of formation (kJ/mol of formula units): -13



# 3
This record from Alexandria describes a relaxed structure of Er5Pu3Hg12. The functional is PBE-GGA.

```
data_Er5Pu3Hg12
_symmetry_space_group_name_H-M 'I a -3 d'
_symmetry_Int_Tables_number 230
_symmetry_space_group_name_Hall '-I 4bd 2c 3'
_cell_length_a 17.331
_cell_length_b 17.331
_cell_length_c 17.331
_cell_angle_alpha 90.00
_cell_angle_beta 90.00
_cell_angle_gamma 90.00
loop_
_atom_site_label
_atom_site_fract_x
_atom_site_fract_y
_atom_site_fract_z
Er1 0.000 0.000 0.000
Er2 0.000 0.250 0.375
Pu1 0.000 0.250 0.125
Hg1 0.009 0.075 0.653
```

Output
Calculated total energy (eV per atom): -3.345
Size of the total moment (Bohr magnetons per cell): 144.82
Energy of formation (kJ/mol of formula units): 245



# 4
This record from Alexandria describes a relaxed structure of ErPuHg. The functional is PBE-GGA.

```
data_ErPuHg
_symmetry_space_group_name_H-M 'P 3 m 1'
_symmetry_Int_Tables_number 156
_symmetry_space_group_name_Hall 'P 3 -2"'
_cell_length_a 5.2288
_cell_length_b 5.2288
_cell_length_c 3.3552
_cell_angle_alpha 90.00
_cell_angle_beta 90.00
_cell_angle_gamma 120.00
loop_
_atom_site_label
_atom_site_fract_x
_atom_site_fract_y
_atom_site_fract_z
Er1 0.0000 0.0000 0.0000
Pu1 0.3333 0.6667 0.5753
Hg1 0.6667 0.3333 0.2580
```

Output
ΔE to the lowest computed polymorph (meV/atom): 96
Calculated total energy (eV per atom): -6.424
Size of the total moment (Bohr magnetons per cell): 6.08
Energy of formation (kJ/mol of formula units): -7



# 5
This record from Alexandria describes a relaxed structure of Er3PuHg4. The functional is PBE-GGA.

```
data_Er3PuHg4
_symmetry_space_group_name_H-M 'P 4/m m m'
_symmetry_Int_Tables_number 123
_symmetry_space_group_name_Hall '-P 4 2'
_cell_length_a 3.675
_cell_length_b 3.675
_cell_length_c 15.078
_cell_angle_alpha 90.00
_cell_angle_beta 90.00
_cell_angle_gamma 90.00
loop_
_atom_site_label
_atom_site_fract_x
_atom_site_fract_y
_atom_site_fract_z
Er1 0.000 0.000 0.000
Er2 0.000 0.000 0.246
Pu1 0.000 0.000 0.500
Hg1 0.500 0.500 0.124
Hg2 0.500 0.500 0.363
```

Output
Calculated total energy (eV per atom): -4.039
Size of the total moment (Bohr magnetons per cell): 5.97
Energy of formation (kJ/mol of formula units): -298



# 6
This record from Alexandria describes a relaxed structure of ErPuHg4. The functional is PBE-GGA.

```
data_ErPuHg4
_symmetry_space_group_name_H-M 'C 1 2/m 1'
_symmetry_Int_Tables_number 12
_symmetry_space_group_name_Hall '-C 2y'
_cell_length_a 5.536
_cell_length_b 9.922
_cell_length_c 5.517
_cell_angle_alpha 90.00
_cell_angle_beta 90.09
_cell_angle_gamma 90.00
loop_
_atom_site_label
_atom_site_fract_x
_atom_site_fract_y
_atom_site_fract_z
Er1 0.000 0.000 0.000
Pu1 0.000 0.500 0.500
Hg1 0.000 0.167 0.500
Hg2 0.000 0.330 0.000
```

Output
ΔE to the lowest computed polymorph (meV/atom): 53
Calculated total energy (eV per atom): -3.556
Size of the total moment (Bohr magnetons per cell): 11.89
Energy of formation (kJ/mol of formula units): -119



Among the records above, which one has the lowest energy of formation? Er3PuHg4



The lowest size of the total moment belongs to which entry? number 2